(1)
Crystalline Ba2LiCu at its relaxed geometry. Source: Alexandria via LeMat-Bulk, functional PBE.

Structure (extended XYZ):
```
8
Lattice="-8.731 1.766 -2.079 -1.683 -8.974 -0.555 -6.132 -3.667 2.515" Properties=species:S:1:pos:R:3 pbc="T T T"
Ba -7.585 -0.857 -0.831
Ba -3.292 -6.383 0.113
Ba -8.430 -5.058 0.923
Ba -13.786 -9.453 -0.443
Cu 0.000 0.000 0.000
Cu -10.035 -2.753 -0.440
Li -5.207 -3.604 -1.317
Li -6.511 -8.123 0.321
```

Computed properties:
- total moment (μB per formula unit) = 0.00
- space-group type = I-42d (122)
- formation energy (eV per formula unit) = 0.97

(2)
Crystalline LiRu2PbSe at its relaxed geometry. Source: Alexandria via LeMat-Bulk, functional PBE.

Structure (extended XYZ):
```
5
Lattice="-2.893 0.943 -3.248 -3.158 -2.380 2.122 -1.277 3.654 2.198" Properties=species:S:1:pos:R:3 pbc="T T T"
Pb -1.579 -1.190 1.061
Ru -0.638 1.827 1.099
Ru -1.447 0.472 -1.624
Se -3.664 1.109 0.536
Li 0.000 0.000 0.000
```

Computed properties:
- total moment (μB per formula unit) = 1.45
- space-group type = P4/mmm (123)
- uncorrected formation energy (meV/atom) = 1089

(3)
Crystalline MgCuSeN2 at its relaxed geometry. Source: Alexandria via LeMat-Bulk, functional PBE.

Structure (extended XYZ):
```
5
Lattice="-0.318 3.808 -0.902 -3.143 0.291 2.335 3.352 1.309 4.349" Properties=species:S:1:pos:R:3 pbc="T T T"
Mg 0.000 0.000 0.000
Cu -0.054 2.704 2.891
Se 1.676 0.655 2.175
N -1.572 0.145 1.168
N -0.159 1.904 -0.451
```

Computed properties:
- total moment (μB per formula unit) = 3.38
- space-group type = P4/mmm (123)
- uncorrected formation energy (meV/atom) = 1368